[1]
VASP calculation (PBE) on a relaxed Mg2CdAgH crystal.

Results
Total DFT energy (no corrections) = -2.07 eV/atom
Space-group type = P4/mmm (123)
DOS at the Fermi energy = 1.0 states/eV/f.u.

Cell: 4.5167 4.5167 4.0365 Å, 90.00 90.00 90.00°
Atoms (fractional coordinates):
H  0.0000  0.0000  0.0000
Mg  0.0000  0.5000  0.0000
Mg  0.5000  0.0000  0.0000
Ag  0.0000  0.0000  0.5000
Cd  0.5000  0.5000  0.5000


[2]
VASP calculation (PBE) on a relaxed NaCdAg2H crystal.

Results
Total DFT energy (no corrections) = -2.15 eV/atom
Space-group type = P4/mmm (123)
DOS at the Fermi energy = 1.7 states/eV/f.u.

Cell: 4.2569 4.2569 4.5752 Å, 90.00 90.00 90.00°
Atoms (fractional coordinates):
Na  0.0000  0.0000  0.5000
H  0.0000  0.0000  0.0000
Ag  0.0000  0.5000  0.0000
Ag  0.5000  0.0000  0.0000
Cd  0.5000  0.5000  0.5000


[3]
VASP calculation (PBE) on a relaxed NaCdAg2H crystal.

Results
Total DFT energy (no corrections) = -1.94 eV/atom
Space-group type = P4/mmm (123)
DOS at the Fermi energy = 1.3 states/eV/f.u.

Cell: 5.4578 3.7477 5.4578 Å, 90.00 90.00 90.00°
Atoms (fractional coordinates):
Na  0.5000  0.5000  0.5000
H  0.0000  0.5000  0.0000
Ag  0.0000  0.0000  0.5000
Ag  0.5000  0.0000  0.0000
Cd  0.0000  0.0000  0.0000


[4]
VASP calculation (PBE) on a relaxed CdNi2AgH crystal.

Results
Total DFT energy (no corrections) = -3.63 eV/atom
Space-group type = P4/mmm (123)
DOS at the Fermi energy = 1.3 states/eV/f.u.

Cell: 3.8897 3.8897 4.0510 Å, 90.00 90.00 90.00°
Atoms (fractional coordinates):
Ni  0.0000  0.5000  0.0000
Ni  0.5000  0.0000  0.0000
H  0.0000  0.0000  0.0000
Ag  0.0000  0.0000  0.5000
Cd  0.5000  0.5000  0.5000


[5]
VASP calculation (PBE) on a relaxed CdNiAg2H crystal.

Results
Total DFT energy (no corrections) = -3.04 eV/atom
Space-group type = P4/mmm (123)
DOS at the Fermi energy = 2.4 states/eV/f.u.

Cell: 4.6189 4.6189 3.2981 Å, 90.00 90.00 90.00°
Atoms (fractional coordinates):
Ni  0.0000  0.0000  0.5000
H  0.0000  0.0000  0.0000
Ag  0.0000  0.5000  0.0000
Ag  0.5000  0.0000  0.0000
Cd  0.5000  0.5000  0.5000


[6]
VASP calculation (PBE) on a relaxed CdAgHPb2 crystal.

Results
Total DFT energy (no corrections) = -2.70 eV/atom
Space-group type = P4/mmm (123)
DOS at the Fermi energy = 1.7 states/eV/f.u.

Cell: 5.4972 5.4972 3.6759 Å, 90.00 90.00 90.00°
Atoms (fractional coordinates):
Pb  0.0000  0.5000  0.0000
Pb  0.5000  0.0000  0.0000
H  0.0000  0.0000  0.0000
Ag  0.0000  0.0000  0.5000
Cd  0.5000  0.5000  0.5000


[7]
VASP calculation (PBE) on a relaxed CdAgHPb2 crystal.

Results
Total DFT energy (no corrections) = -2.67 eV/atom
Space-group type = P4/mmm (123)
DOS at the Fermi energy = 1.5 states/eV/f.u.

Cell: 5.8479 5.8479 3.4323 Å, 90.00 90.00 90.00°
Atoms (fractional coordinates):
Pb  0.0000  0.5000  0.0000
Pb  0.5000  0.0000  0.0000
H  0.0000  0.0000  0.5000
Ag  0.0000  0.0000  0.0000
Cd  0.5000  0.5000  0.5000


[8]
VASP calculation (PBE) on a relaxed CdAgHPd2 crystal.

Results
Total DFT energy (no corrections) = -3.63 eV/atom
Space-group type = P4/mmm (123)
DOS at the Fermi energy = 1.5 states/eV/f.u.

Cell: 4.0423 4.0423 4.3241 Å, 90.00 90.00 90.00°
Atoms (fractional coordinates):
H  0.0000  0.0000  0.0000
Pd  0.0000  0.5000  0.0000
Pd  0.5000  0.0000  0.0000
Ag  0.5000  0.5000  0.5000
Cd  0.0000  0.0000  0.5000


[9]
VASP calculation (PBE) on a relaxed CdAgHPd2 crystal.

Results
Total DFT energy (no corrections) = -3.71 eV/atom
Space-group type = P4/mmm (123)
DOS at the Fermi energy = 0.5 states/eV/f.u.

Cell: 4.1103 4.1103 4.1459 Å, 90.00 90.00 90.00°
Atoms (fractional coordinates):
H  0.0000  0.0000  0.0000
Pd  0.0000  0.5000  0.0000
Pd  0.5000  0.0000  0.0000
Ag  0.0000  0.0000  0.5000
Cd  0.5000  0.5000  0.5000


[10]
VASP calculation (PBE) on a relaxed Cd2AgHPd6 crystal.

Results
Total DFT energy (no corrections) = -4.14 eV/atom
Space-group type = P1 (1)
DOS at the Fermi energy = 3.7 states/eV/f.u.

Cell: 4.9407 6.5303 6.3936 Å, 96.23 129.77 97.13°
Atoms (fractional coordinates):
Cd  0.8279  0.2481  0.4410
Cd  0.1882  0.7220  0.5638
Ag  0.5071  0.4845  0.9999
H  0.9209  0.1327  0.9819
Pd  0.8446  0.9253  0.1163
Pd  0.8471  0.5976  0.7784
Pd  0.1753  0.0354  0.8905
Pd  0.5009  0.1574  0.6621
Pd  0.1822  0.3878  0.2338
Pd  0.5048  0.8131  0.3303


[11]
VASP calculation (PBE) on a relaxed CdAg2HPt crystal.

Results
Total DFT energy (no corrections) = -3.22 eV/atom
Space-group type = P4/mmm (123)
DOS at the Fermi energy = 2.1 states/eV/f.u.

Cell: 4.4281 4.4281 3.7811 Å, 90.00 90.00 90.00°
Atoms (fractional coordinates):
H  0.0000  0.0000  0.0000
Ag  0.0000  0.5000  0.0000
Ag  0.5000  0.0000  0.0000
Pt  0.0000  0.0000  0.5000
Cd  0.5000  0.5000  0.5000


[12]
VASP calculation (PBE) on a relaxed CdAgHPt2 crystal.

Results
Total DFT energy (no corrections) = -3.96 eV/atom
Space-group type = P4/mmm (123)
DOS at the Fermi energy = 0.9 states/eV/f.u.

Cell: 4.0674 4.0674 4.2847 Å, 90.00 90.00 90.00°
Atoms (fractional coordinates):
H  0.0000  0.0000  0.0000
Ag  0.0000  0.0000  0.5000
Pt  0.0000  0.5000  0.0000
Pt  0.5000  0.0000  0.0000
Cd  0.5000  0.5000  0.5000


[13]
VASP calculation (PBE) on a relaxed CdAgHPt2 crystal.

Results
Total DFT energy (no corrections) = -3.90 eV/atom
Space-group type = P4/mmm (123)
DOS at the Fermi energy = 2.0 states/eV/f.u.

Cell: 4.0252 4.0252 4.3975 Å, 90.00 90.00 90.00°
Atoms (fractional coordinates):
H  0.0000  0.0000  0.0000
Ag  0.5000  0.5000  0.5000
Pt  0.0000  0.5000  0.0000
Pt  0.5000  0.0000  0.0000
Cd  0.0000  0.0000  0.5000


[14]
VASP calculation (PBE) on a relaxed Cd2AgHPt crystal.

Results
Total DFT energy (no corrections) = -2.86 eV/atom
Space-group type = P4/mmm (123)
DOS at the Fermi energy = 1.6 states/eV/f.u.

Cell: 4.7582 4.7582 3.4940 Å, 90.00 90.00 90.00°
Atoms (fractional coordinates):
H  0.0000  0.0000  0.0000
Ag  0.5000  0.5000  0.5000
Pt  0.0000  0.0000  0.5000
Cd  0.0000  0.5000  0.0000
Cd  0.5000  0.0000  0.0000


[15]
VASP calculation (PBE) on a relaxed Rb3Cd2AgH8 crystal.

Results
Total DFT energy (no corrections) = -2.51 eV/atom
Space-group type = P-3m1 (164)
DOS at the Fermi energy = 0.0 states/eV/f.u.

Cell: 5.9841 5.9841 7.9311 Å, 90.00 90.00 120.00°
Atoms (fractional coordinates):
Rb  0.3333  0.6667  0.6691
Rb  0.6667  0.3333  0.3309
Rb  0.0000  0.0000  0.0000
Cd  0.3333  0.6667  0.2395
Cd  0.6667  0.3333  0.7605
Ag  0.0000  0.0000  0.5000
H  0.3333  0.6667  0.0141
H  0.6667  0.3333  0.9859
H  0.1657  0.8343  0.3408
H  0.8343  0.1657  0.6592
H  0.1657  0.3315  0.3408
H  0.8343  0.6685  0.6592
H  0.6685  0.8343  0.3408
H  0.3315  0.1657  0.6592


[16]
VASP calculation (PBE) on a relaxed Rb2CdAgH crystal.

Results
Total DFT energy (no corrections) = -1.71 eV/atom
Space-group type = P4/mmm (123)
DOS at the Fermi energy = 1.5 states/eV/f.u.

Cell: 5.7161 5.7161 4.8311 Å, 90.00 90.00 90.00°
Atoms (fractional coordinates):
H  0.0000  0.0000  0.0000
Rb  0.0000  0.5000  0.0000
Rb  0.5000  0.0000  0.0000
Ag  0.5000  0.5000  0.5000
Cd  0.0000  0.0000  0.5000


[17]
VASP calculation (PBE) on a relaxed Rb2CdAgH crystal.

Results
Total DFT energy (no corrections) = -1.73 eV/atom
Space-group type = P4/mmm (123)
DOS at the Fermi energy = 2.2 states/eV/f.u.

Cell: 6.4601 6.4601 3.8779 Å, 90.00 90.00 90.00°
Atoms (fractional coordinates):
H  0.0000  0.0000  0.0000
Rb  0.0000  0.5000  0.0000
Rb  0.5000  0.0000  0.0000
Ag  0.0000  0.0000  0.5000
Cd  0.5000  0.5000  0.5000


[18]
VASP calculation (PBE) on a relaxed Rb2CdAgH6 crystal.

Results
Total DFT energy (no corrections) = -2.56 eV/atom
Space-group type = I4/mmm (139)
DOS at the Fermi energy = 2.5 states/eV/f.u.

Cell: 5.7822 5.7822 6.1040 Å, 61.73 61.73 90.00°
Atoms (fractional coordinates):
Rb  0.7500  0.2500  0.5000
Rb  0.2500  0.7500  0.5000
Cd  0.0000  0.0000  0.0000
Ag  0.5000  0.5000  0.0000
H  0.2012  0.2012  0.5976
H  0.7219  0.7219  0.0000
H  0.2781  0.7219  0.0000
H  0.7219  0.2781  0.0000
H  0.2781  0.2781  0.0000
H  0.7988  0.7988  0.4024


[19]
VASP calculation (PBE) on a relaxed CdAgHRh2 crystal.

Results
Total DFT energy (no corrections) = -4.31 eV/atom
Space-group type = P4/mmm (123)
DOS at the Fermi energy = 6.3 states/eV/f.u.

Cell: 4.0102 4.0102 4.2207 Å, 90.00 90.00 90.00°
Atoms (fractional coordinates):
H  0.0000  0.0000  0.0000
Rh  0.0000  0.5000  0.0000
Rh  0.5000  0.0000  0.0000
Ag  0.0000  0.0000  0.5000
Cd  0.5000  0.5000  0.5000


[20]
VASP calculation (PBE) on a relaxed CdAgHRh2 crystal.

Results
Total DFT energy (no corrections) = -4.25 eV/atom
Space-group type = P4/mmm (123)
DOS at the Fermi energy = 5.8 states/eV/f.u.

Cell: 3.9606 3.9606 4.3514 Å, 90.00 90.00 90.00°
Atoms (fractional coordinates):
H  0.0000  0.0000  0.0000
Rh  0.0000  0.5000  0.0000
Rh  0.5000  0.0000  0.0000
Ag  0.5000  0.5000  0.5000
Cd  0.0000  0.0000  0.5000